[1]
Material: CeTiTc2
Method: DFT, GGA-PBE
State: relaxed

Lattice parameters (Å, degrees): 3.267 3.267 6.529 90.00 90.00 90.00
Space group P4/mmm (No. 123)
Inequivalent atoms, fractional coordinates:
1 Ce 0.000 0.000 0.000 (multiplicity 1)
2 Ti 0.000 0.000 0.500 (multiplicity 1)
3 Tc 0.500 0.500 0.267 (multiplicity 2)

Its formation energy is -61 kJ/mol of formula units. The offset from the most stable computed form is 0.031 eV/atom.

[2]
Material: SrCaPd
Method: DFT, GGA-PBE
State: relaxed

Lattice parameters (Å, degrees): 4.424 5.922 8.020 100.05 90.14 90.01
Space group P-1 (No. 2)
Inequivalent atoms, fractional coordinates:
1 Sr 0.249 0.290 0.175 (multiplicity 2)
2 Ca 0.251 0.177 0.645 (multiplicity 2)
3 Pd 0.250 0.653 0.544 (multiplicity 2)

Its formation energy is -143 kJ/mol of formula units. The offset from the most stable computed form is 0.003 eV/atom.

[3]
Material: CoAg2Cl
Method: DFT, GGA-PBE
State: relaxed

Lattice parameters (Å, degrees): 7.422 7.422 5.588 90.00 90.00 90.00
Space group I-42d (No. 122)
Inequivalent atoms, fractional coordinates:
1 Co 0.000 0.000 0.000 (multiplicity 4)
2 Ag 0.241 0.750 0.125 (multiplicity 8)
3 Cl 0.000 0.000 0.500 (multiplicity 4)

The offset from the most stable computed form is 0.440 eV/atom. For the uncorrected formation energy, the calculation gives 0.57 eV/atom.

[4]
Material: HoNpS4
Method: DFT, GGA-PBE
State: relaxed

Lattice parameters (Å, degrees): 8.727 8.869 4.080 90.00 90.00 90.00
Space group Cmmm (No. 65)
Inequivalent atoms, fractional coordinates:
1 Ho 0.000 0.000 0.000 (multiplicity 2)
2 Np 0.000 0.500 0.500 (multiplicity 2)
3 S 0.000 0.312 0.000 (multiplicity 4)
4 S 0.204 0.000 0.500 (multiplicity 4)

For the uncorrected formation energy, the calculation gives -1.38 eV/atom.

[5]
Material: Sb2RhBr
Method: DFT, GGA-PBE
State: relaxed

Lattice parameters (Å, degrees): 4.219 4.219 5.162 90.00 90.00 90.00
Space group P4/mmm (No. 123)
Inequivalent atoms, fractional coordinates:
1 Sb 0.000 0.500 0.000 (multiplicity 2)
2 Rh 0.000 0.000 0.500 (multiplicity 1)
3 Br 0.500 0.500 0.500 (multiplicity 1)

The offset from the most stable computed form is 0.792 eV/atom. For the uncorrected formation energy, the calculation gives 0.46 eV/atom.

[6]
Material: Tb6Nd3Ho
Method: DFT, GGA-PBE
State: relaxed

Lattice parameters (Å, degrees): 10.953 18.991 6.395 90.00 90.00 90.00
Space group Cmc2_1 (No. 36)
Inequivalent atoms, fractional coordinates:
1 Tb 0.000 0.038 0.000 (multiplicity 4)
2 Tb 0.000 0.272 0.783 (multiplicity 4)
3 Tb 0.169 0.455 0.684 (multiplicity 8)
4 Tb 0.237 0.290 0.502 (multiplicity 8)
5 Nd 0.000 0.387 0.206 (multiplicity 4)
6 Nd 0.176 0.114 0.596 (multiplicity 8)
7 Ho 0.000 0.194 0.259 (multiplicity 4)

Its formation energy is 141 kJ/mol of formula units. The offset from the most stable computed form is 0.000 eV/atom.

no.,N(E_F) (states/eV/cell)
1,3.88
2,3.23
3,6.51
4,10.78
5,1.97
6,53.11